Entry from Alexandria via LeMat-Bulk: a relaxed structure of KZn2Bi2 (PBE).

The space group is C2/c (No. 15) and the conventional cell measures 7.205, 15.460 and 7.149 Å, with angles of 90.00, 120.16 and 90.00 degrees. Symmetry generates all atoms from K at (0.000, 0.125, 0.250), Zn at (0.181, 0.375, 0.113), Bi at (0.000, 0.249, 0.750) and Bi at (0.000, 0.500, 0.250).

As for the energy above the most stable polymorph in this dataset: 61 meV/atom. The calculated formation energy comes out at -47 kJ/mol of formula units.

Entry from Alexandria via LeMat-Bulk: a relaxed structure of ZnCu3Ni2 (PBE).

The space group is C2/m (No. 12) and the conventional cell measures 16.762, 2.508 and 7.332 Å, with angles of 90.00, 109.23 and 90.00 degrees. Symmetry generates all atoms from Zn at (0.178, 0.000, 0.039), Cu at (0.060, 0.000, 0.440), Cu at (0.067, 0.500, 0.770), Cu at (0.194, 0.000, 0.714), Ni at (0.067, 0.500, 0.138) and Ni at (0.193, 0.000, 0.378).

As for the energy above the most stable polymorph in this dataset: 0 meV/atom. The calculated formation energy comes out at 28 kJ/mol of formula units.

Entry from Alexandria via LeMat-Bulk: a relaxed structure of KSr2CoBr8 (PBE).

The space group is P-1 (No. 2) and the conventional cell measures 6.670, 6.687 and 9.221 Å, with angles of 90.12, 90.05 and 90.11 degrees. Symmetry generates all atoms from K at (0.000, 0.000, 0.000), Sr at (0.499, 0.498, 0.739), Co at (0.000, 0.000, 0.500), Br at (0.135, 0.783, 0.311), Br at (0.138, 0.785, 0.689), Br at (0.310, 0.207, 0.499) and Br at (0.385, 0.257, 0.000).

The uncorrected formation energy is -1.337 eV per atom.

Entry from Alexandria via LeMat-Bulk: a relaxed structure of KCoI3 (PBE).

The space group is P2_1/c (No. 14) and the conventional cell measures 8.028, 9.003 and 13.986 Å, with angles of 90.00, 124.62 and 90.00 degrees. Symmetry generates all atoms from K at (0.206, 0.105, 0.245), Co at (0.102, 0.595, 0.053), I at (0.118, 0.202, 0.949), I at (0.268, 0.677, 0.952) and I at (0.352, 0.012, 0.752).

As for the energy above the most stable polymorph in this dataset: 0 meV/atom. The uncorrected formation energy is -0.580 eV per atom.

Entry from Alexandria via LeMat-Bulk: a relaxed structure of Mg2TiAu3 (PBE).

The space group is P4/mmm (No. 123) and the conventional cell measures 3.227, 3.227 and 10.271 Å, with angles of 90.00, 90.00 and 90.00 degrees. Symmetry generates all atoms from Mg at (0.000, 0.000, 0.169), Ti at (0.000, 0.000, 0.500), Au at (0.500, 0.500, 0.000) and Au at (0.500, 0.500, 0.338).

The calculated formation energy comes out at -300 kJ/mol of formula units.

Entry from Alexandria via LeMat-Bulk: a relaxed structure of BaSrW2 (PBE).

The space group is Fm-3m (No. 225) and the conventional cell measures 7.735, 7.735 and 7.735 Å, with angles of 90.00, 90.00 and 90.00 degrees. Symmetry generates all atoms from Ba at (0.000, 0.000, 0.000), Sr at (0.000, 0.000, 0.500) and W at (0.250, 0.250, 0.250).

As for the energy above the most stable polymorph in this dataset: 1359 meV/atom. The calculated formation energy comes out at 805 kJ/mol of formula units.

Entry from Alexandria via LeMat-Bulk: a relaxed structure of BiAuSN2 (PBE).

The space group is P4/mmm (No. 123) and the conventional cell measures 4.275, 4.275 and 5.622 Å, with angles of 90.00, 90.00 and 90.00 degrees. Symmetry generates all atoms from Bi at (0.000, 0.000, 0.000), Au at (0.500, 0.500, 0.500), S at (0.000, 0.000, 0.500) and N at (0.000, 0.500, 0.000).

As for the energy above the most stable polymorph in this dataset: 272 meV/atom. The uncorrected formation energy is 1.760 eV per atom.

Entry from Alexandria via LeMat-Bulk: a relaxed structure of Ga2SnO5 (PBE).

The space group is Cmcm (No. 63) and the conventional cell measures 3.772, 10.120 and 10.342 Å, with angles of 90.00, 90.00 and 90.00 degrees. Symmetry generates all atoms from Ga at (0.000, 0.134, 0.057), Sn at (0.000, 0.186, 0.750), O at (0.000, 0.046, 0.611), O at (0.000, 0.232, 0.250) and O at (0.000, 0.307, 0.573).

The uncorrected formation energy is -1.709 eV per atom.

Entry from Alexandria via LeMat-Bulk: a relaxed structure of MgTa2Au (PBE).

The space group is Cmm2 (No. 35) and the conventional cell measures 3.615, 4.458 and 9.093 Å, with angles of 90.00, 90.00 and 90.00 degrees. Symmetry generates all atoms from Mg at (0.000, 0.000, 0.000), Ta at (0.000, 0.000, 0.485), Ta at (0.000, 0.500, 0.730) and Au at (0.000, 0.500, 0.238).

The calculated formation energy comes out at -24 kJ/mol of formula units.

Entry from Alexandria via LeMat-Bulk: a relaxed structure of Sr2CaLu (PBE).

The space group is P4/mmm (No. 123) and the conventional cell measures 4.144, 4.144 and 10.016 Å, with angles of 90.00, 90.00 and 90.00 degrees. Symmetry generates all atoms from Sr at (0.000, 0.000, 0.227), Ca at (0.500, 0.500, 0.500) and Lu at (0.500, 0.500, 0.000).

As for the energy above the most stable polymorph in this dataset: 0 meV/atom. The calculated formation energy comes out at 69 kJ/mol of formula units.

Entry from Alexandria via LeMat-Bulk: a relaxed structure of BePtW (PBE).

The space group is P1 (No. 1) and the conventional cell measures 2.744, 4.397 and 6.793 Å, with angles of 85.38, 78.35 and 89.98 degrees. Symmetry generates all atoms from Be at (0.000, 0.000, 0.000), Be at (0.129, 0.394, 0.747), Pt at (0.644, 0.891, 0.714), Pt at (0.778, 0.426, 0.447), W at (0.339, 0.942, 0.325) and W at (0.466, 0.488, 0.068).

As for the energy above the most stable polymorph in this dataset: 99 meV/atom. The calculated formation energy comes out at -70 kJ/mol of formula units.

Entry from Alexandria via LeMat-Bulk: a relaxed structure of TaIn2Fe (PBE).

The space group is Cmmm (No. 65) and the conventional cell measures 5.918, 8.582 and 2.932 Å, with angles of 90.00, 90.00 and 90.00 degrees. Symmetry generates all atoms from Ta at (0.000, 0.000, 0.000), In at (0.250, 0.250, 0.500) and Fe at (0.000, 0.500, 0.000).

As for the energy above the most stable polymorph in this dataset: 205 meV/atom. The calculated formation energy comes out at 119 kJ/mol of formula units.

Entry from Alexandria via LeMat-Bulk: a relaxed structure of Mo2As3 (PBE).

The space group is Fdd2 (No. 43) and the conventional cell measures 10.840, 13.549 and 4.824 Å, with angles of 90.00, 90.00 and 90.00 degrees. Symmetry generates all atoms from Mo at (0.023, 0.171, 0.000), As at (0.000, 0.000, 0.794) and As at (0.112, 0.180, 0.511).

As for the energy above the most stable polymorph in this dataset: 312 meV/atom. The calculated formation energy comes out at 14 kJ/mol of formula units.

Entry from Alexandria via LeMat-Bulk: a relaxed structure of Li8ZnAg5 (PBE).

The space group is I-4 (No. 82) and the conventional cell measures 7.732, 7.732 and 8.066 Å, with angles of 90.00, 90.00 and 90.00 degrees. Symmetry generates all atoms from Li at (0.062, 0.169, 0.330), Li at (0.098, 0.317, 0.988), Zn at (0.000, 0.000, 0.000), Ag at (0.000, 0.500, 0.250) and Ag at (0.119, 0.294, 0.661).

The calculated formation energy comes out at -122 kJ/mol of formula units.

Entry from Alexandria via LeMat-Bulk: a relaxed structure of TcAsPO2 (PBE).

The space group is P4/mmm (No. 123) and the conventional cell measures 3.706, 3.706 and 5.187 Å, with angles of 90.00, 90.00 and 90.00 degrees. Symmetry generates all atoms from Tc at (0.000, 0.000, 0.000), As at (0.500, 0.500, 0.500), P at (0.500, 0.500, 0.000) and O at (0.000, 0.500, 0.500).

As for the energy above the most stable polymorph in this dataset: 604 meV/atom. The uncorrected formation energy is 0.142 eV per atom.

Entry from Alexandria via LeMat-Bulk: a relaxed structure of Tl2Zn (PBE).

The space group is Cmcm (No. 63) and the conventional cell measures 3.647, 17.020 and 5.098 Å, with angles of 90.00, 90.00 and 90.00 degrees. Symmetry generates all atoms from Tl at (0.000, 0.083, 0.250), Tl at (0.000, 0.214, 0.750) and Zn at (0.000, 0.437, 0.250).

As for the energy above the most stable polymorph in this dataset: 43 meV/atom. The calculated formation energy comes out at 34 kJ/mol of formula units.

Number 1: calculated volume 688.52 Å³/cell. Number 2: calculated volume 291.08 Å³/cell. Number 3: calculated volume 411.25 Å³/cell. Number 4: calculated volume 831.77 Å³/cell. Number 5: calculated volume 106.97 Å³/cell. Number 6: calculated volume 462.86 Å³/cell. Number 7: calculated volume 102.75 Å³/cell. Number 8: calculated volume 394.83 Å³/cell. Number 9: calculated volume 146.52 Å³/cell. Number 10: calculated volume 172.00 Å³/cell. Number 11: calculated volume 80.00 Å³/cell. Number 12: calculated volume 148.94 Å³/cell. Number 13: calculated volume 708.52 Å³/cell. Number 14: calculated volume 482.21 Å³/cell. Number 15: calculated volume 71.23 Å³/cell. Number 16: calculated volume 316.49 Å³/cell.